(1)
Computed, not measured: a relaxed structure of Sr2ScTlO at the PBE-GGA level of DFT.

Properties
DOS(E_F) = 2.5 states/eV per cell
SG = P4/mmm

Lattice parameters (Å, degrees): 5.602 5.602 4.183 90.00 90.00 90.00
Each line ends with the local moment (μB).
Positions (direct):
O 0.000 0.000 0.000  0.00
Tl 0.500 0.500 0.500  -0.01
Sr 0.000 0.500 0.000  0.01
Sr 0.500 0.000 0.000  0.01
Sc 0.000 0.000 0.500  0.12

(2)
Computed, not measured: a relaxed structure of Sr2ScUO6 at the PBE-GGA level of DFT.

Properties
SG = P2_1/c

Lattice parameters (Å, degrees): 5.886 5.959 8.355 90.00 89.87 90.00
Each line ends with the local moment (μB).
Positions (direct):
U 0.500 0.000 0.500  1.07
U 0.000 0.500 0.000  1.07
O 0.082 0.476 0.749  -0.02
O 0.918 0.524 0.251  -0.02
O 0.582 0.024 0.249  -0.02
O 0.209 0.212 0.457  -0.02
O 0.788 0.790 0.956  -0.02
O 0.712 0.290 0.544  -0.02
O 0.291 0.712 0.043  -0.02
O 0.709 0.288 0.957  -0.02
O 0.288 0.710 0.456  -0.02
O 0.418 0.976 0.751  -0.02
O 0.791 0.788 0.543  -0.02
O 0.212 0.210 0.044  -0.02
Sr 0.491 0.464 0.249  0.00
Sr 0.509 0.536 0.751  0.00
Sr 0.009 0.964 0.251  0.00
Sr 0.991 0.036 0.749  0.00
Sc 0.500 0.000 0.000  -0.01
Sc 0.000 0.500 0.500  -0.01

Number 1: electronic total energy -4.65 eV/atom, formation energy (no corrections) -1242 meV/atom, magnetic moment 0.0429 μB per atom. Number 2: electronic total energy -8.35 eV/atom, formation energy (no corrections) -3279 meV/atom, magnetic moment 0.1000 μB per atom.